No. 1
A plane-wave DFT calculation with PBE was carried out for CsK2In after structural relaxation.

Energy relative to the lowest polymorph listed for this composition: 98 meV/atom
Space-group type: I-42d, No. 122
Volume: 59.7 Å³ per atom
Energy of formation from the pure elements: 0.152 eV per atom

a = 14.529 Å, b = 14.529 Å, c = 14.529 Å
α = 156.75°, β = 156.75°, γ = 33.11°
Sites, in units of the cell vectors:
Cs  0.000  0.000  0.000
Cs  0.750  0.250  0.500
K  0.163  0.625  0.038
K  0.375  0.413  0.538
K  0.587  0.125  0.962
K  0.875  0.837  0.462
In  0.250  0.750  0.500
In  0.500  0.500  0.000

---

No. 2
A plane-wave DFT calculation with PBE was carried out for Cs4K2In after structural relaxation.

Space-group type: I4/mmm, No. 139
Volume: 94.8 Å³ per atom
Energy of formation from the pure elements: 0.103 eV per atom

a = 12.935 Å, b = 12.935 Å, c = 12.935 Å
α = 146.30°, β = 146.30°, γ = 48.40°
Sites, in units of the cell vectors:
Cs  0.000  0.500  0.500
Cs  0.169  0.169  0.000
Cs  0.500  0.000  0.500
Cs  0.831  0.831  0.000
K  0.369  0.369  0.000
K  0.631  0.631  0.000
In  0.000  0.000  0.000

---

No. 3
A plane-wave DFT calculation with PBE was carried out for Cs12K6In after structural relaxation.

Space-group type: R-3, No. 148
Volume: 92.4 Å³ per atom
Energy of formation from the pure elements: 0.026 eV per atom

a = 12.065 Å, b = 12.065 Å, c = 12.065 Å
α = 88.75°, β = 88.75°, γ = 88.75°
Sites, in units of the cell vectors:
Cs  0.030  0.306  0.937
Cs  0.063  0.970  0.694
Cs  0.140  0.359  0.466
Cs  0.306  0.937  0.030
Cs  0.359  0.466  0.140
Cs  0.466  0.140  0.359
Cs  0.534  0.860  0.641
Cs  0.641  0.534  0.860
Cs  0.694  0.063  0.970
Cs  0.860  0.641  0.534
Cs  0.937  0.030  0.306
Cs  0.970  0.694  0.063
K  0.258  0.738  0.401
K  0.262  0.599  0.742
K  0.401  0.258  0.738
K  0.599  0.742  0.262
K  0.738  0.401  0.258
K  0.742  0.262  0.599
In  0.500  0.500  0.500

---

Repeat the second record exactly.
A plane-wave DFT calculation with PBE was carried out for Cs4K2In after structural relaxation.

Space-group type: I4/mmm, No. 139
Volume: 94.8 Å³ per atom
Energy of formation from the pure elements: 0.103 eV per atom

a = 12.935 Å, b = 12.935 Å, c = 12.935 Å
α = 146.30°, β = 146.30°, γ = 48.40°
Sites, in units of the cell vectors:
Cs  0.000  0.500  0.500
Cs  0.169  0.169  0.000
Cs  0.500  0.000  0.500
Cs  0.831  0.831  0.000
K  0.369  0.369  0.000
K  0.631  0.631  0.000
In  0.000  0.000  0.000